Entry 1:
YTaCo2Se: optimized geometry, PBEsol.

Cell lengths 4.323, 4.323, 5.838 Å; angles 90.00, 90.00, 90.00 degrees
Fractional positions:
Y (0.000, 0.000, 0.000)
Ta (0.000, 0.000, 0.500)
Co (0.000, 0.500, 0.500)
Co (0.500, 0.000, 0.500)
Se (0.500, 0.500, 0.000)

Summary:
Total magnetization   0.0 μB per cell
Energy   -34.0 eV per cell
DOS(E_F)   6.3 states/eV/f.u.

Entry 2:
Co3TcSe: optimized geometry, PBEsol.

Cell lengths 4.328, 4.328, 4.328 Å; angles 90.00, 90.00, 90.00 degrees
Fractional positions:
Co (0.000, 0.000, 0.500)
Co (0.000, 0.500, 0.000)
Co (0.500, 0.000, 0.000)
Tc (0.000, 0.000, 0.000)
Se (0.500, 0.500, 0.500)

Summary:
Total magnetization   0.1 μB per cell
Energy   -30.7 eV per cell
DOS(E_F)   8.7 states/eV/f.u.

Entry 3:
CoTc2Se: optimized geometry, PBEsol.

Cell lengths 2.938, 2.938, 6.124 Å; angles 90.00, 90.00, 90.00 degrees
Fractional positions:
Co (0.000, 0.000, 0.000)
Tc (0.500, 0.500, 0.244)
Tc (0.500, 0.500, 0.756)
Se (0.000, 0.000, 0.500)

Summary:
Total magnetization   1.4 μB per cell
Energy   -33.4 eV per cell
DOS(E_F)   4.4 states/eV/f.u.

Entry 4:
CoTcSe: optimized geometry, PBEsol.

Cell lengths 4.961, 4.961, 4.961 Å; angles 145.14, 145.14, 50.12 degrees
Fractional positions:
Co (0.000, 0.000, 0.000)
Tc (0.322, 0.322, 0.000)
Se (0.661, 0.661, 0.000)

Summary:
Total magnetization   1.6 μB per cell
Energy   -22.2 eV per cell
Offset from the most stable computed form   0.00 eV/f.u.
DOS(E_F)   3.0 states/eV/f.u.

Entry 5:
CoTcSe: optimized geometry, PBEsol.

Cell lengths 3.983, 3.983, 3.983 Å; angles 60.00, 60.00, 60.00 degrees
Fractional positions:
Co (0.000, 0.000, 0.000)
Tc (0.750, 0.750, 0.750)
Se (0.250, 0.250, 0.250)

Summary:
Total magnetization   2.3 μB per cell
Energy   -21.4 eV per cell
Offset from the most stable computed form   0.89 eV/f.u.
DOS(E_F)   4.4 states/eV/f.u.

Entry 6:
CoTcSe3: optimized geometry, PBEsol.

Cell lengths 4.776, 4.776, 4.776 Å; angles 90.00, 90.00, 90.00 degrees
Fractional positions:
Co (0.000, 0.000, 0.000)
Tc (0.500, 0.500, 0.500)
Se (0.000, 0.500, 0.500)
Se (0.500, 0.000, 0.500)
Se (0.500, 0.500, 0.000)

Summary:
Total magnetization   1.9 μB per cell
Energy   -25.9 eV per cell
DOS(E_F)   8.6 states/eV/f.u.

Computed ΔE_f (raw) (meV per atom) in order:
938, 1518, 189, 201, 497, 928